# PBE Dy2HoErTl2, relaxed
# raw total energy: -4.102 eV/atom
# mass density: 10.60 g/cm³
data_Dy2HoErTl2
_cell_length_a 5.3690
_cell_length_b 5.3690
_cell_length_c 6.6891
_cell_angle_alpha 90.00
_cell_angle_beta 90.00
_cell_angle_gamma 120.00
_space_group_name_H-M_alt 'P -6 m 2'
_space_group_IT_number 187
_space_group_name_Hall 'P -6 2'
loop_
_atom_site_label
_atom_site_type_symbol
_atom_site_fract_x
_atom_site_fract_y
_atom_site_fract_z
Dy1 Dy 0.0000 0.0000 0.2504
Ho1 Ho 0.3333 0.6667 0.0000
Er1 Er 0.6667 0.3333 0.5000
Tl1 Tl 0.3333 0.6667 0.5000
Tl2 Tl 0.6667 0.3333 0.0000

***

# PBE DyHo2ErTl2, relaxed
# raw total energy: -4.096 eV/atom
# mass density: 10.63 g/cm³
data_DyHo2ErTl2
_cell_length_a 5.3698
_cell_length_b 5.3698
_cell_length_c 6.6848
_cell_angle_alpha 90.00
_cell_angle_beta 90.00
_cell_angle_gamma 120.00
_space_group_name_H-M_alt 'P -6 m 2'
_space_group_IT_number 187
_space_group_name_Hall 'P -6 2'
loop_
_atom_site_label
_atom_site_type_symbol
_atom_site_fract_x
_atom_site_fract_y
_atom_site_fract_z
Dy1 Dy 0.0000 0.0000 0.0000
Ho1 Ho 0.6667 0.3333 0.2510
Er1 Er 0.3333 0.6667 0.5000
Tl1 Tl 0.0000 0.0000 0.5000
Tl2 Tl 0.3333 0.6667 0.0000

***

# PBE Dy2Er2I5N, relaxed
# raw total energy: -4.670 eV/atom
# mass density: 7.15 g/cm³
data_Dy2Er2I5N
_cell_length_a 18.843
_cell_length_b 3.888
_cell_length_c 8.495
_cell_angle_alpha 90.00
_cell_angle_beta 102.69
_cell_angle_gamma 90.00
_space_group_name_H-M_alt 'C 1 2/m 1'
_space_group_IT_number 12
_space_group_name_Hall '-C 2y'
loop_
_atom_site_label
_atom_site_type_symbol
_atom_site_fract_x
_atom_site_fract_y
_atom_site_fract_z
Dy1 Dy 0.126 0.000 0.062
Er1 Er 0.001 0.500 0.814
I1 I 0.000 0.000 0.500
I2 I 0.162 0.500 0.342
I3 I 0.166 0.500 0.818
N1 N 0.000 0.000 0.000

***

no.,volume (Å³/atom)
1,27.83
2,27.82
3,30.36